# Dy4Hg2Pb (GGA-PBE, optimized geometry)
data_Dy4Hg2Pb
_cell_length_a 5.1659
_cell_length_b 5.1659
_cell_length_c 26.4235
_cell_angle_alpha 90.00
_cell_angle_beta 90.00
_cell_angle_gamma 120.00
_symmetry_space_group_name_H-M 'R -3 m'
_symmetry_Int_Tables_number 166
_symmetry_space_group_name_Hall '-R 3 2"'
loop_
_atom_site_label
_atom_site_type_symbol
_atom_site_fract_x
_atom_site_fract_y
_atom_site_fract_z
Dy1 Dy 0.0000 0.0000 0.1184
Dy2 Dy 0.0000 0.0000 0.3709
Hg1 Hg 0.0000 0.0000 0.2572
Pb1 Pb 0.0000 0.0000 0.5000
# * total magnetic moment: 0.0 μB per cell
# * crystal system: trigonal
# * calculated volume: 611 Å³/cell
# * uncorrected energy: -74.3 eV per cell